# Hf3CuC2 | OQMD via LeMat-Bulk | PBE-GGA | optimized geometry
data_Hf3CuC2
_chemical_formula_sum 'Hf6 Cu2 C4'
_cell_length_a 3.2830
_cell_length_b 3.2830
_cell_length_c 18.7182
_cell_angle_alpha 90.00
_cell_angle_beta 90.00
_cell_angle_gamma 120.00
_symmetry_space_group_name_H-M 'P 63/m m c'
_symmetry_Int_Tables_number 194
_symmetry_space_group_name_Hall '-P 6c 2c'
loop_
_atom_site_label
_atom_site_type_symbol
_atom_site_fract_x
_atom_site_fract_y
_atom_site_fract_z
_atom_site_occupancy
Hf1 Hf 0.0000 0.0000 0.0000 1
Hf2 Hf 0.3333 0.6667 0.1390 1
Cu1 Cu 0.0000 0.0000 0.2500 1
C1 C 0.3333 0.6667 0.5738 1
# * energy: -111.6 eV for the cell shown
# * size of the total moment: 0.02 μB/f.u.